First-principles (GGA+U) data for a relaxed structure of SrCaFeBiO6, as listed in Alexandria.

The structure in extended XYZ format:
```
10
Lattice="0.000 4.086 4.086 4.086 0.000 4.086 4.086 4.086 0.000" Properties=species:S:1:pos:R:3 pbc="T T T"
Sr 0.000 0.000 0.000
Ca 4.086 4.086 4.086
Fe 2.043 2.043 2.043
Bi 6.129 6.129 6.129
O 2.043 2.043 0.050
O 2.043 0.050 2.043
O 4.036 2.043 2.043
O 0.050 2.043 2.043
O 2.043 4.036 2.043
O 2.043 2.043 4.036
```

Calculated values
The density of states at the Fermi level is 0.006 states/eV/atom. For the total energy, the calculation gives -60.92 eV/f.u. The value obtained for the magnetic moment is 0.498 μB per atom. Its symmetry is F-43m, No. 216. The value obtained for the calculated density is 5947 kg/m³.